VASP calculation (PBE) on a relaxed structure of HoSiNi2. Values from VASP.

Structure (Quantum ESPRESSO input):
```
&SYSTEM
  ibrav = 0, nat = 8, ntyp = 3
/
ATOMIC_SPECIES
Ho 164.93 Ho.upf
Ni 58.69 Ni.upf
Si 28.09 Si.upf
CELL_PARAMETERS angstrom
-3.9089 -1.2982 -0.9352
-0.8962 -0.4316 4.3451
-2.1541 6.3517 0.1866
ATOMIC_POSITIONS crystal
Ho 0.5000 0.0465 0.1962
Ho 0.5000 0.9535 0.6962
Ni 0.5000 0.5028 0.4439
Ni 0.0000 0.1993 0.4918
Ni 0.5000 0.4972 0.9439
Ni 0.0000 0.8007 0.9918
Si 0.0000 0.6894 0.3681
Si 0.0000 0.3106 0.8681
```

Output
- E_tot (eV per atom) = -5.766
- symmetry = Pmc2_1 (26)